(1)
DyEr6Tm8 | PBE-GGA | relaxed

As for the polymorph energy (0 for the lowest one): 163.3 kJ/mol of formula units. The calculation puts the formation energy at 247 meV/atom. The calculation puts the energy at -4.270 eV/atom.

The structure belongs to space group P-3 (No. 147); the cell edges are 9.2614, 9.2614 and 6.4005 Å and the angles 90.00°, 90.00° and 120.00°. The inequivalent atoms are Dy at (0.0000, 0.0000, 0.0000), Er at (0.0974, 0.4161, 0.9098), Tm at (0.0241, 0.6871, 0.5954) and Tm at (0.3333, 0.6667, 0.3351).

(2)
Dy5Er12Tm | PBE-GGA | relaxed

The calculation puts the formation energy at 23 meV/atom. The calculation puts the energy at -4.546 eV/atom.

The structure belongs to space group Cmmm (No. 65); the cell edges are 14.8656, 14.8988 and 4.9553 Å and the angles 90.00°, 90.00° and 90.00°. The inequivalent atoms are Dy at (0.0000, 0.0000, 0.0000), Dy at (0.0000, 0.1667, 0.5000), Dy at (0.0000, 0.3337, 0.0000), Er at (0.1672, 0.0000, 0.5000), Er at (0.1672, 0.1668, 0.0000), Er at (0.1667, 0.3336, 0.5000), Er at (0.1666, 0.5000, 0.0000) and Tm at (0.0000, 0.5000, 0.5000).

(3)
Dy2Er15Tm2 | PBE-GGA | relaxed

The calculation puts the formation energy at 291 meV/atom. The calculation puts the energy at -4.266 eV/atom.

The structure belongs to space group R-3m (No. 166, hexagonal axes); the cell edges are 11.0234, 11.0234 and 17.3946 Å and the angles 90.00°, 90.00° and 120.00°. The inequivalent atoms are Dy at (0.0000, 0.0000, 0.1772), Er at (0.0000, 0.2991, 0.5000), Er at (0.0000, 0.5000, 0.0000), Er at (0.0111, 0.5056, 0.6367) and Tm at (0.0000, 0.0000, 0.4026).

(4)
DyEr5Tm | PBE-GGA | relaxed

As for the polymorph energy (0 for the lowest one): 0.0 kJ/mol of formula units. The calculation puts the formation energy at 67 meV/atom. The calculation puts the energy at -4.488 eV/atom.

The structure belongs to space group P2_1/m (No. 11); the cell edges are 9.1142, 3.5562 and 13.6873 Å and the angles 90.00°, 103.82° and 90.00°. The inequivalent atoms are Dy at (0.1024, 0.2500, 0.1149), Er at (0.0014, 0.7500, 0.3772), Er at (0.2019, 0.2500, 0.8781), Er at (0.3310, 0.2500, 0.5101), Er at (0.3538, 0.7500, 0.7235), Er at (0.4119, 0.7500, 0.0769) and Tm at (0.3370, 0.7500, 0.3023).

(5)
DyEr12Tm6 | PBE-GGA | relaxed

As for the polymorph energy (0 for the lowest one): 525.6 kJ/mol of formula units. The calculation puts the formation energy at 450 meV/atom. The calculation puts the energy at -4.086 eV/atom.

The structure belongs to space group R-3m (No. 166, hexagonal axes); the cell edges are 14.8315, 14.8315 and 9.9414 Å and the angles 90.00°, 90.00° and 120.00°. The inequivalent atoms are Dy at (0.0000, 0.0000, 0.0000), Er at (0.0000, 0.3888, 0.5000), Er at (0.0736, 0.1472, 0.2824) and Tm at (0.0572, 0.5286, 0.2142).

(6)
DyEr6Tm6 | PBE-GGA | relaxed

The calculation puts the formation energy at 228 meV/atom. The calculation puts the energy at -4.295 eV/atom.

The structure belongs to space group P2/m (No. 10); the cell edges are 6.4742, 10.8238 and 6.4939 Å and the angles 90.00°, 115.53° and 90.00°. The inequivalent atoms are Dy at (0.0000, 0.0000, 0.0000), Er at (0.0000, 0.3341, 0.0000), Er at (0.2660, 0.5000, 0.7409), Er at (0.3356, 0.0000, 0.6221), Tm at (0.0000, 0.2311, 0.5000), Tm at (0.5000, 0.2186, 0.0000) and Tm at (0.5000, 0.3022, 0.5000).

(7)
Dy9Er2Tm | PBE-GGA | relaxed

As for the polymorph energy (0 for the lowest one): 39.1 kJ/mol of formula units. The calculation puts the formation energy at 55 meV/atom. The calculation puts the energy at -4.530 eV/atom.

The structure belongs to space group P6/mmm (No. 191); the cell edges are 11.1316, 11.1316 and 3.4671 Å and the angles 90.00°, 90.00° and 120.00°. The inequivalent atoms are Dy at (0.0000, 0.5000, 0.0000), Dy at (0.1756, 0.3512, 0.5000), Er at (0.3333, 0.6667, 0.0000) and Tm at (0.0000, 0.0000, 0.0000).

(8)
Dy2Er5Tm12 | PBE-GGA | relaxed

As for the polymorph energy (0 for the lowest one): 0.0 kJ/mol of formula units. The calculation puts the formation energy at 97 meV/atom. The calculation puts the energy at -4.413 eV/atom.

The structure belongs to space group P-1 (No. 2); the cell edges are 6.4042, 8.7187 and 11.1956 Å and the angles 109.30°, 93.08° and 98.51°. The inequivalent atoms are Dy at (0.2358, 0.4450, 0.4599), Er at (0.0130, 0.3892, 0.7191), Er at (0.2994, 0.0114, 0.3022), Er at (0.5000, 0.0000, 0.0000), Tm at (0.0212, 0.2024, 0.1375), Tm at (0.1698, 0.8724, 0.5781), Tm at (0.2033, 0.1714, 0.8617), Tm at (0.2787, 0.5985, 0.0412), Tm at (0.4484, 0.6561, 0.7700) and Tm at (0.4678, 0.2590, 0.6308).

Which of these has the lowest energy?
Dy5Er12Tm

Among the records above, which one has the highest energy?
DyEr12Tm6

Repeat the fourth record exactly.
DyEr5Tm | PBE-GGA | relaxed

As for the polymorph energy (0 for the lowest one): 0.0 kJ/mol of formula units. The calculation puts the formation energy at 67 meV/atom. The calculation puts the energy at -4.488 eV/atom.

The structure belongs to space group P2_1/m (No. 11); the cell edges are 9.1142, 3.5562 and 13.6873 Å and the angles 90.00°, 103.82° and 90.00°. The inequivalent atoms are Dy at (0.1024, 0.2500, 0.1149), Er at (0.0014, 0.7500, 0.3772), Er at (0.2019, 0.2500, 0.8781), Er at (0.3310, 0.2500, 0.5101), Er at (0.3538, 0.7500, 0.7235), Er at (0.4119, 0.7500, 0.0769) and Tm at (0.3370, 0.7500, 0.3023).